Entry 1:
This record from Alexandria via LeMat-Bulk describes an optimized crystal structure of Cd3GaHg. The functional is PBE-GGA.

a = 4.9262 Å, b = 6.4474 Å, c = 7.3645 Å
α = 90.00°, β = 99.79°, γ = 90.00°
With the nearest neighbours (Å) after each atom.
Space group P2_1/m (No. 11)
One atom of each set of equivalent atoms:
Cd: 0.1144 0.0054 0.2140  2 Ga 2.97-3.29, 2 Hg 3.10-3.13, 5 Cd 3.12-3.29
Cd: 0.3028 0.7500 0.5929  2 Ga 2.78-2.96, 1 Hg 3.00
Ga: 0.2695 0.2500 0.6101  4 Cd 2.78-2.97, 1 Hg 2.89
Hg: 0.4942 0.7500 0.0026  1 Ga 2.89, 5 Cd 3.00-3.13, 2 Hg 3.22

Raw total energy: -1.160 eV per atom

***

Entry 2:
This record from Alexandria via LeMat-Bulk describes an optimized crystal structure of CrGeOs2. The functional is PBE-GGA.

a = 5.4964 Å, b = 5.4964 Å, c = 10.6500 Å
α = 90.00°, β = 90.00°, γ = 90.00°
With the nearest neighbours (Å) after each atom.
Space group I-42d (No. 122)
One atom of each set of equivalent atoms:
Cr: 0.0000 0.0000 0.0000  4 Os 2.29
Ge: 0.0000 0.0000 0.5000  4 Os 2.42
Os: 0.2299 0.2500 0.1250  2 Cr 2.29, 2 Ge 2.42

Raw total energy: -8.093 eV per atom

***

Entry 3:
This record from Alexandria via LeMat-Bulk describes an optimized crystal structure of ReRuBr. The functional is PBE-GGA.

a = 2.9298 Å, b = 2.9298 Å, c = 6.5221 Å
α = 90.00°, β = 90.00°, γ = 120.00°
With the nearest neighbours (Å) after each atom.
Space group P3m1 (No. 156)
One atom of each set of equivalent atoms:
Re: 0.0000 0.0000 0.0000  3 Ru 2.60, 3 Br 2.78
Ru: 0.6667 0.3333 0.6966  3 Re 2.60, 3 Br 2.88
Br: 0.3333 0.6667 0.3391  3 Re 2.78, 3 Ru 2.88, 6 Br 2.93

Formation energy without anion corrections: 636 meV/atom
Raw total energy: -7.163 eV per atom

***

Entry 4:
This record from Alexandria via LeMat-Bulk describes an optimized crystal structure of CsCdInHg2. The functional is PBE-GGA.

a = 5.8315 Å, b = 5.8315 Å, c = 5.6482 Å
α = 90.00°, β = 90.00°, γ = 90.00°
With the nearest neighbours (Å) after each atom.
Space group P4/mmm (No. 123)
One atom of each set of equivalent atoms:
Cs: 0.0000 0.0000 0.0000  8 Hg 4.06, 4 In 4.12
Cd: 0.5000 0.5000 0.5000  2 In 2.82, 4 Hg 2.92
In: 0.5000 0.5000 0.0000  2 Cd 2.82
Hg: 0.0000 0.5000 0.5000  2 Cd 2.92

Raw total energy: -1.046 eV per atom

***

Entry 5:
This record from Alexandria via LeMat-Bulk describes an optimized crystal structure of CuHgSe2N. The functional is PBE-GGA.

a = 5.3972 Å, b = 5.3972 Å, c = 4.0900 Å
α = 90.00°, β = 90.00°, γ = 90.00°
With the nearest neighbours (Å) after each atom.
Space group P4/mmm (No. 123)
One atom of each set of equivalent atoms:
Cu: 0.0000 0.0000 0.0000  8 Se 3.39
Hg: 0.5000 0.5000 0.5000  2 N 2.04
Se: 0.0000 0.5000 0.5000  2 Hg 2.70
N: 0.5000 0.5000 0.0000  2 Hg 2.04

Formation energy without anion corrections: 1471 meV/atom
Raw total energy: -2.468 eV per atom

***

Entry 6:
This record from Alexandria via LeMat-Bulk describes an optimized crystal structure of OsPbNF2. The functional is PBE-GGA.

a = 4.4725 Å, b = 4.4725 Å, c = 4.4974 Å
α = 90.00°, β = 90.00°, γ = 90.00°
With the nearest neighbours (Å) after each atom.
Space group P4/mmm (No. 123)
One atom of each set of equivalent atoms:
Os: 0.0000 0.0000 0.0000  4 N 3.16, 8 F 3.17
Pb: 0.5000 0.5000 0.5000  4 F 2.24, 2 N 2.25
N: 0.5000 0.5000 0.0000  2 Pb 2.25
F: 0.0000 0.5000 0.5000  2 Pb 2.24

Formation energy without anion corrections: 858 meV/atom
Raw total energy: -4.544 eV per atom

***

Entry 7:
This record from Alexandria via LeMat-Bulk describes an optimized crystal structure of BaTcGe2Au. The functional is PBE-GGA.

a = 4.7901 Å, b = 4.7901 Å, c = 5.4848 Å
α = 90.00°, β = 90.00°, γ = 90.00°
With the nearest neighbours (Å) after each atom.
Space group P4/mmm (No. 123)
One atom of each set of equivalent atoms:
Ba: 0.0000 0.0000 0.0000  4 Au 3.39, 8 Ge 3.64
Tc: 0.5000 0.5000 0.5000  4 Ge 2.40
Ge: 0.0000 0.5000 0.5000  2 Tc 2.40
Au: 0.5000 0.5000 0.0000  2 Tc 2.74

Raw total energy: -5.236 eV per atom

***

Entry 8:
This record from Alexandria via LeMat-Bulk describes an optimized crystal structure of AlReHg2. The functional is PBE-GGA.

a = 2.9545 Å, b = 4.3450 Å, c = 5.6676 Å
α = 90.00°, β = 90.00°, γ = 90.00°
With the nearest neighbours (Å) after each atom.
Space group Pmmm (No. 47)
One atom of each set of equivalent atoms:
Al: 0.0000 0.0000 0.0000  2 Re 2.83, 2 Al 2.95, 8 Hg 2.99
Re: 0.0000 0.0000 0.5000  2 Al 2.83, 2 Re 2.95, 8 Hg 2.98
Hg: 0.5000 0.5000 0.2523  4 Hg 2.81-2.95, 4 Re 2.98, 4 Al 2.99

Raw total energy: -3.492 eV per atom

***

Entry 9:
This record from Alexandria via LeMat-Bulk describes an optimized crystal structure of Y2BeZnAu. The functional is PBE-GGA.

a = 5.4990 Å, b = 5.4990 Å, c = 4.7499 Å
α = 90.00°, β = 90.00°, γ = 90.00°
With the nearest neighbours (Å) after each atom.
Space group P4/mmm (No. 123)
One atom of each set of equivalent atoms:
Y: 0.0000 0.5000 0.0000  2 Au 2.75
Be: 0.0000 0.0000 0.5000  8 Y 3.63, 4 Zn 3.89
Zn: 0.5000 0.5000 0.5000  2 Au 2.37
Au: 0.5000 0.5000 0.0000  2 Zn 2.37

Raw total energy: -3.855 eV per atom

***

Entry 10:
This record from Alexandria via LeMat-Bulk describes an optimized crystal structure of Ac6Cd2Ga. The functional is PBE-GGA.

a = 10.9195 Å, b = 10.9743 Å, c = 11.2985 Å
α = 90.00°, β = 90.00°, γ = 90.00°
With the nearest neighbours (Å) after each atom.
Space group Immm (No. 71)
One atom of each set of equivalent atoms:
Ac: 0.0000 0.1746 0.2444  1 Ga 3.47, 3 Cd 3.55-3.65, 1 Ac 3.83
Ac: 0.1722 0.5000 0.2715  3 Cd 3.36-3.53, 1 Ga 3.60, 1 Ac 3.76
Ac: 0.2433 0.3063 0.0000  2 Cd 3.36-3.58, 2 Ga 3.40-3.52
Cd: 0.0000 0.3627 0.5000  1 Cd 3.01, 2 Ac 3.36
Cd: 0.1311 0.0000 0.0000  1 Cd 2.86
Ga: 0.0000 0.0000 0.5000  8 Ac 3.47-3.52
Ga: 0.0000 0.5000 0.0000  8 Ac 3.40-3.60

Raw total energy: -3.443 eV per atom

***

Entry 11:
This record from Alexandria via LeMat-Bulk describes an optimized crystal structure of La2HoGe4Au3. The functional is PBE-GGA.

a = 4.5086 Å, b = 4.5086 Å, c = 11.2530 Å
α = 90.00°, β = 90.00°, γ = 90.00°
With the nearest neighbours (Å) after each atom.
Space group P-4m2 (No. 115)
One atom of each set of equivalent atoms:
La: 0.0000 0.5000 0.2305  6 Au 3.41-3.78, 8 Ge 3.44-3.45, 2 Ho 3.78
Ho: 0.0000 0.0000 0.5000  4 Ge 2.83
Ge: 0.0000 0.0000 0.0000  4 Au 2.64
Ge: 0.0000 0.5000 0.6518  3 Au 2.55-2.83, 2 Ho 2.83
Ge: 0.5000 0.5000 0.0000  4 Au 2.64
Au: 0.0000 0.5000 0.8782  5 Ge 2.55-2.64
Au: 0.5000 0.5000 0.5000  4 Ge 2.83

Raw total energy: -4.950 eV per atom

***

Entry 12:
This record from Alexandria via LeMat-Bulk describes an optimized crystal structure of NaSr3La2Se6. The functional is PBE-GGA.

a = 7.5908 Å, b = 13.1407 Å, c = 7.5935 Å
α = 90.00°, β = 109.43°, γ = 90.00°
With the nearest neighbours (Å) after each atom.
Space group C2/m (No. 12)
One atom of each set of equivalent atoms:
Na: 0.0000 0.0000 0.0000  6 Se 3.10
Sr: 0.0000 0.1644 0.5000  6 Se 3.12-3.15
Sr: 0.0000 0.5000 0.5000  6 Se 3.10-3.15
La: 0.0000 0.3329 0.0000  6 Se 3.05
Se: 0.2421 0.5000 0.2415  2 La 3.05, 1 Na 3.10, 3 Sr 3.10-3.13
Se: 0.2505 0.1693 0.2428  2 La 3.05, 1 Na 3.10, 3 Sr 3.12-3.15

Formation energy without anion corrections: -1931 meV/atom
Raw total energy: -5.025 eV per atom

***

Entry 13:
This record from Alexandria via LeMat-Bulk describes an optimized crystal structure of BeAs2I. The functional is PBE-GGA.

a = 6.1278 Å, b = 6.1278 Å, c = 10.7839 Å
α = 90.00°, β = 90.00°, γ = 90.00°
With the nearest neighbours (Å) after each atom.
Space group I-42d (No. 122)
One atom of each set of equivalent atoms:
Be: 0.0000 0.0000 0.0000  4 As 2.20
As: 0.1334 0.2500 0.1250  2 Be 2.20
I: 0.0000 0.0000 0.5000  4 As 3.03

Formation energy without anion corrections: 400 meV/atom
Raw total energy: -3.244 eV per atom

***

Entry 14:
This record from Alexandria via LeMat-Bulk describes an optimized crystal structure of ErThFeTc. The functional is PBE-GGA.

a = 6.8945 Å, b = 6.8945 Å, c = 6.8945 Å
α = 90.00°, β = 90.00°, γ = 90.00°
With the nearest neighbours (Å) after each atom.
Space group F-43m (No. 216)
One atom of each set of equivalent atoms:
Er: 0.0000 0.0000 0.0000  4 Fe 2.99, 4 Tc 2.99
Th: 0.0000 0.0000 0.5000  4 Fe 2.99, 4 Tc 2.99
Fe: 0.2500 0.2500 0.7500  4 Th 2.99, 4 Er 2.99
Tc: 0.2500 0.2500 0.2500  4 Th 2.99, 4 Er 2.99

Raw total energy: -7.684 eV per atom

***

Entry 15:
This record from Alexandria via LeMat-Bulk describes an optimized crystal structure of SrLi2Si. The functional is PBE-GGA.

a = 3.6069 Å, b = 5.1590 Å, c = 12.7367 Å
α = 90.00°, β = 90.00°, γ = 90.00°
With the nearest neighbours (Å) after each atom.
Space group Immm (No. 71)
One atom of each set of equivalent atoms:
Sr: 0.0000 0.0000 0.0000  4 Si 3.15
Li: 0.0000 0.0000 0.3029  1 Si 2.51
Si: 0.0000 0.0000 0.5000  2 Li 2.51

Formation energy without anion corrections: 54 meV/atom
Raw total energy: -2.679 eV per atom

***

Entry 16:
This record from Alexandria via LeMat-Bulk describes an optimized crystal structure of Be3Ir2Pt. The functional is PBE-GGA.

a = 2.8208 Å, b = 2.8208 Å, c = 8.4463 Å
α = 90.00°, β = 90.00°, γ = 90.00°
With the nearest neighbours (Å) after each atom.
Space group P4/mmm (No. 123)
One atom of each set of equivalent atoms:
Be: 0.0000 0.0000 0.0000  8 Ir 2.43, 2 Be 2.72
Be: 0.0000 0.0000 0.3215  4 Ir 2.39, 4 Pt 2.50
Ir: 0.5000 0.5000 0.1653  8 Be 2.39-2.43
Pt: 0.5000 0.5000 0.5000  8 Be 2.50

Raw total energy: -6.481 eV per atom

***

Entry 17:
This record from Alexandria via LeMat-Bulk describes an optimized crystal structure of CeY2NpAs4. The functional is PBE-GGA.

a = 7.1705 Å, b = 4.1378 Å, c = 7.1921 Å
α = 90.00°, β = 109.45°, γ = 90.00°
With the nearest neighbours (Å) after each atom.
Space group P2/m (No. 10)
One atom of each set of equivalent atoms:
Ce: 0.0000 0.0000 0.0000  6 As 2.94-2.95
Y: 0.0000 0.5000 0.5000  6 As 2.94
Y: 0.5000 0.0000 0.5000  6 As 2.91-2.92
Np: 0.5000 0.5000 0.0000  6 As 2.92
As: 0.2534 0.5000 0.2515  3 Y 2.92-2.94, 1 Np 2.92, 2 Ce 2.94
As: 0.2536 0.0000 0.7506  3 Y 2.91-2.94, 2 Np 2.92, 1 Ce 2.95

Raw total energy: -7.603 eV per atom

***

Entry 18:
This record from Alexandria via LeMat-Bulk describes an optimized crystal structure of La6AlCd2. The functional is PBE-GGA.

a = 5.6089 Å, b = 5.6089 Å, c = 10.6239 Å
α = 90.00°, β = 90.00°, γ = 120.00°
With the nearest neighbours (Å) after each atom.
Space group P-3m1 (No. 164)
One atom of each set of equivalent atoms:
La: 0.0000 0.0000 0.1846  1 Al 3.35, 3 Cd 3.43, 3 La 3.70
La: 0.3333 0.6667 0.0153  3 La 3.25, 1 Cd 3.27
La: 0.3333 0.6667 0.3935  4 Cd 3.34-3.41, 3 Al 3.43
Al: 0.0000 0.0000 0.5000  8 La 3.35-3.43
Cd: 0.3333 0.6667 0.7076  8 La 3.27-3.43

Raw total energy: -4.093 eV per atom

***

Entry 19:
This record from Alexandria via LeMat-Bulk describes an optimized crystal structure of Ge2Sb2Au3. The functional is PBE-GGA.

a = 4.4755 Å, b = 5.6477 Å, c = 6.8405 Å
α = 90.70°, β = 108.45°, γ = 90.17°
With the nearest neighbours (Å) after each atom.
Space group P-1 (No. 2)
One atom of each set of equivalent atoms:
Ge: 0.0965 0.0829 0.1838  3 Au 2.55-2.66, 1 Ge 2.55
Sb: 0.3760 0.4733 0.7343  4 Au 2.81-2.91
Au: 0.0000 0.5000 0.0000  2 Ge 2.66, 4 Sb 2.81-2.84
Au: 0.3152 0.9751 0.6353  2 Ge 2.55

Formation energy without anion corrections: 1 meV/atom
Raw total energy: -3.901 eV per atom

***

Entry 20:
This record from Alexandria via LeMat-Bulk describes an optimized crystal structure of Ca2Zn4GeAu3. The functional is PBE-GGA.

a = 4.1972 Å, b = 4.1972 Å, c = 11.5728 Å
α = 90.00°, β = 90.00°, γ = 90.00°
With the nearest neighbours (Å) after each atom.
Space group P-4m2 (No. 115)
One atom of each set of equivalent atoms:
Ca: 0.0000 0.5000 0.2462  8 Zn 3.22-3.61, 6 Au 3.24-3.54, 2 Ge 3.54
Zn: 0.0000 0.0000 0.5000  4 Au 2.66, 4 Zn 2.97
Zn: 0.0000 0.5000 0.8624  3 Au 2.55-2.63, 2 Ge 2.63
Zn: 0.5000 0.5000 0.5000  4 Au 2.66, 4 Zn 2.97
Ge: 0.5000 0.5000 0.0000  4 Zn 2.63
Au: 0.0000 0.0000 0.0000  4 Zn 2.63
Au: 0.0000 0.5000 0.6419  5 Zn 2.55-2.66

Raw total energy: -2.795 eV per atom

***

Entry 21:
This record from Alexandria via LeMat-Bulk describes an optimized crystal structure of Cs4La3PaS8. The functional is PBE-GGA.

a = 8.5809 Å, b = 8.5809 Å, c = 24.2528 Å
α = 90.00°, β = 90.00°, γ = 120.00°
With the nearest neighbours (Å) after each atom.
Space group R-3m (No. 166, hexagonal axes)
One atom of each set of equivalent atoms:
Cs: 0.0000 0.0000 0.0000  6 S 3.63
Cs: 0.0000 0.5000 0.0000  6 S 3.52-3.53
La: 0.0000 0.5000 0.5000  6 S 2.91-2.94
Pa: 0.0000 0.0000 0.5000  6 S 2.80
S: 0.0000 0.0000 0.2296  3 La 2.91
S: 0.0144 0.5072 0.2283  1 Pa 2.80, 2 La 2.94

Formation energy without anion corrections: -1758 meV/atom
Raw total energy: -5.552 eV per atom

***

Entry 22:
This record from Alexandria via LeMat-Bulk describes an optimized crystal structure of Pm6Pr8Dy. The functional is PBE-GGA.

a = 9.3378 Å, b = 9.3378 Å, c = 21.1857 Å
α = 90.00°, β = 90.00°, γ = 120.00°
With the nearest neighbours (Å) after each atom.
Space group R-3 (No. 148, hexagonal axes)
One atom of each set of equivalent atoms:
Pm: 0.0511 0.2466 0.2068  3 Pr 3.45-3.50, 1 Dy 3.57, 4 Pm 3.65-3.86
Pr: 0.0000 0.0000 0.0780  4 Pr 3.31-3.52, 3 Pm 3.45
Pr: 0.0803 0.5573 0.3065  3 Pm 3.49-3.88, 5 Pr 3.52-3.56, 1 Dy 3.60
Dy: 0.0000 0.0000 0.5000  6 Pm 3.57, 6 Pr 3.60

Raw total energy: -4.645 eV per atom

***

Entry 23:
This record from Alexandria via LeMat-Bulk describes an optimized crystal structure of TaMo3. The functional is PBE-GGA.

a = 4.5336 Å, b = 4.5336 Å, c = 22.0714 Å
α = 90.00°, β = 90.00°, γ = 120.00°
With the nearest neighbours (Å) after each atom.
Space group R-3m (No. 166, hexagonal axes)
One atom of each set of equivalent atoms:
Ta: 0.0000 0.0000 0.1891  5 Mo 2.75-2.81, 3 Ta 2.80
Mo: 0.0000 0.0000 0.0616  7 Mo 2.72-2.78, 1 Ta 2.81
Mo: 0.0000 0.0000 0.3137  7 Mo 2.70-2.78, 1 Ta 2.75
Mo: 0.0000 0.0000 0.4361  5 Mo 2.70-2.82, 3 Ta 2.77

Raw total energy: -11.187 eV per atom

***

Entry 24:
This record from Alexandria via LeMat-Bulk describes an optimized crystal structure of YTiTe3. The functional is PBE-GGA.

a = 5.3322 Å, b = 5.3322 Å, c = 5.3322 Å
α = 90.00°, β = 90.00°, γ = 90.00°
With the nearest neighbours (Å) after each atom.
Space group Pm-3m (No. 221)
One atom of each set of equivalent atoms:
Y: 0.0000 0.0000 0.0000  12 Te 3.77
Ti: 0.5000 0.5000 0.5000  6 Te 2.67
Te: 0.0000 0.5000 0.5000  2 Ti 2.67

Formation energy without anion corrections: -414 meV/atom
Raw total energy: -5.171 eV per atom

***

Entry 25:
This record from Alexandria via LeMat-Bulk describes an optimized crystal structure of BaCl. The functional is PBE-GGA.

a = 7.6618 Å, b = 4.5158 Å, c = 8.6940 Å
α = 90.00°, β = 90.00°, γ = 90.00°
With the nearest neighbours (Å) after each atom.
Space group Pnma (No. 62)
One atom of each set of equivalent atoms:
Ba: 0.2252 0.2500 0.1177  5 Cl 3.20-3.29
Cl: 0.0288 0.7500 0.3208  5 Ba 3.20-3.29

Formation energy without anion corrections: -1790 meV/atom
Raw total energy: -3.675 eV per atom